No. 1
# AgAsOF2

Crystalline AgAsOF2 at its relaxed geometry (PBEsol, Alexandria).

Calculated values
space group = P4/mmm
ΔE_f (raw) = -482 kJ/mol of formula units
calculated total energy = -22.5 eV per cell

Unit cell a=3.937 b=4.194 c=4.194 alpha=90.00 beta=90.00 gamma=90.00
Fractional positions:
As (0.000, 0.000, 0.000)
F (0.000, 0.500, 0.000)
F (0.000, 0.000, 0.500)
Ag (0.500, 0.500, 0.500)
O (0.500, 0.000, 0.000)

=====

No. 2
# ZrSc2Al

Crystalline ZrSc2Al at its relaxed geometry (PBEsol, Alexandria).

Calculated values
ΔE_f = -0.105 eV per atom
space group = Cmmm
calculated total energy = -26.8 eV per cell

Unit cell a=2.999 b=5.492 c=5.492 alpha=112.95 beta=90.00 gamma=90.00
Fractional positions:
Sc (0.000, 0.000, 0.500)
Sc (0.000, 0.500, 0.000)
Al (0.500, 0.500, 0.500)
Zr (0.500, 0.000, 0.000)

=====

No. 3
# Ba2HfRh

Crystalline Ba2HfRh at its relaxed geometry (PBEsol, Alexandria).

Calculated values
ΔE_f = 0.824 eV per atom
space group = Fm-3m
calculated total energy = -19.6 eV per cell

Unit cell a=5.414 b=5.414 c=5.414 alpha=60.00 beta=60.00 gamma=60.00
Fractional positions:
Ba (0.250, 0.250, 0.250)
Ba (0.750, 0.750, 0.750)
Rh (0.000, 0.000, 0.000)
Hf (0.500, 0.500, 0.500)

=====

No. 4
# Co2TcMo

Crystalline Co2TcMo at its relaxed geometry (PBEsol, Alexandria).

Calculated values
ΔE_f = -0.011 eV per atom
space group = I4/mmm
offset from the most stable computed form = 0.0569 eV/atom
calculated total energy = -38.6 eV per cell

Unit cell a=3.641 b=3.641 c=4.483 alpha=113.96 beta=113.96 gamma=90.00
Fractional positions:
Co (0.250, 0.750, 0.500)
Co (0.750, 0.250, 0.500)
Tc (0.000, 0.000, 0.000)
Mo (0.500, 0.500, 0.000)

=====

no.,size of the total moment (μB per cell)
1,0.0
2,0.0
3,0.0
4,0.0